# 1
CsClF3 | Alexandria | PBE | relaxed; ρ = 3.42 Mg/m³; ΔE to the lowest computed polymorph = 0.0000 eV/atom; E_tot = -32.13 eV/cell; formation energy (no corrections) = -1.550 eV per atom
1.0
6.753 0.000 0.000
0.000 6.753 0.000
3.377 3.377 4.799
F Cl Cs
6 2 2
Direct
0.693 0.307 0.000
0.197 0.197 0.606
0.693 0.693 0.000
0.307 0.307 0.000
0.803 0.803 0.394
0.307 0.693 0.000
0.000 0.000 0.000
0.500 0.500 0.000
0.750 0.250 0.500
0.250 0.750 0.500

# 2
Cs2ClF | Alexandria | PBE | relaxed; ρ = 3.77 Mg/m³; ΔE to the lowest computed polymorph = 0.0146 eV/atom; E_tot = -14.49 eV/cell; formation energy (no corrections) = -2.267 eV per atom
1.0
-0.106 4.503 0.318
-3.861 2.225 -0.729
-3.126 1.652 7.619
Cl Cs F
1 2 1
Direct
0.500 0.500 0.501
0.071 0.071 0.787
0.262 0.262 0.214
0.667 0.667 0.998

# 3
Cs6ClF5 | Alexandria | PBE | relaxed; ρ = 4.15 Mg/m³; E_tot = -46.49 eV/cell; formation energy (no corrections) = -2.513 eV per atom
1.0
-1.648 6.666 3.386
-7.642 0.975 0.247
-4.020 -2.575 6.057
F Cs Cl
5 6 1
Direct
0.500 0.163 0.674
0.000 0.331 0.338
0.000 0.669 0.662
0.500 0.837 0.326
0.500 0.500 0.000
0.271 0.266 0.000
0.747 0.451 0.637
0.729 0.734 0.000
0.253 0.549 0.363
0.747 0.088 0.363
0.253 0.912 0.637
0.000 0.000 0.000

# 4
Cs2ClF | Alexandria | PBE | relaxed; ρ = 4.16 Mg/m³; ΔE to the lowest computed polymorph = 0.1128 eV/atom; E_tot = -14.10 eV/cell; formation energy (no corrections) = -2.169 eV per atom
1.0
5.656 0.000 0.000
2.828 4.898 0.000
2.828 1.633 4.618
Cs Cl F
2 1 1
Direct
0.750 0.750 0.750
0.250 0.250 0.250
0.000 0.000 0.000
0.500 0.500 0.500

# 5
Cs4Cl2F | Alexandria | PBE | relaxed; ρ = 3.26 Mg/m³; E_tot = -21.31 eV/cell; formation energy (no corrections) = -1.762 eV per atom
1.0
6.017 0.000 0.000
0.000 6.017 0.000
3.009 3.009 8.739
Cs Cl F
4 2 1
Direct
0.000 0.500 0.000
0.811 0.811 0.378
0.500 0.000 0.000
0.189 0.189 0.622
0.383 0.383 0.233
0.617 0.617 0.767
0.000 0.000 0.000

# 6
CsCl2F8 | Alexandria | PBE | relaxed; ρ = 2.75 Mg/m³; E_tot = -27.81 eV/cell; formation energy (no corrections) = -0.754 eV per atom
1.0
4.422 0.294 0.251
0.914 7.340 1.163
0.914 2.287 7.071
F Cs Cl
8 1 2
Direct
0.299 0.418 0.418
0.292 0.736 0.736
0.708 0.264 0.264
0.609 0.007 0.691
0.391 0.993 0.309
0.391 0.309 0.993
0.701 0.582 0.582
0.609 0.691 0.007
0.000 0.000 0.000
0.336 0.281 0.281
0.664 0.719 0.719

# 7
CsCl2F | Alexandria | PBE | relaxed; ρ = 2.99 Mg/m³; E_tot = -8.96 eV/cell; formation energy (no corrections) = -0.636 eV per atom
1.0
5.593 0.000 0.000
2.796 4.843 0.000
2.796 1.614 4.566
F Cs Cl
1 1 2
Direct
0.000 0.000 0.000
0.500 0.500 0.500
0.750 0.750 0.750
0.250 0.250 0.250

# 8
CsCl3F6 | Alexandria | PBE | relaxed; ρ = 2.47 Mg/m³; E_tot = -27.14 eV/cell; formation energy (no corrections) = -0.952 eV per atom
1.0
-1.355 2.128 3.144
3.074 -6.618 4.081
5.476 5.509 -3.092
Cl F Cs
3 6 1
Direct
0.995 0.000 0.459
0.535 0.541 0.541
0.995 0.459 0.000
0.701 0.375 0.375
0.374 0.715 0.715
0.659 0.285 0.000
0.326 0.000 0.625
0.659 0.000 0.285
0.326 0.625 0.000
0.089 0.000 0.000

Question: What is the ρ in the fourth record?
Answer: 4.16 Mg/m³